BaWOF2: optimized geometry, PBE+U.

Lattice parameters (Å, degrees): 4.5769 4.5769 4.2780 90.00 90.00 90.00
Last column: nearest neighbours and their distance in Å.
Fractional coordinates of all 5 atoms:
Ba (0.0000, 0.0000, 0.0000)  8 F 3.13, 4 O 3.24
W (0.5000, 0.5000, 0.5000)  2 O 2.14, 4 F 2.29
O (0.5000, 0.5000, 0.0000)  2 W 2.14
F (0.0000, 0.5000, 0.5000)  2 W 2.29
F (0.5000, 0.0000, 0.5000)  2 W 2.29

DOS at the Fermi energy = 1.00 states/eV/f.u.
Energy relative to the lowest polymorph listed for this composition = 0.000 eV per formula unit